# Nb5GaSi2 (PBE, relaxed)
data_Nb5GaSi2
_chemical_formula_sum 'Nb20 Ga4 Si8'
_symmetry_space_group_name_H-M 'I 4/m c m'
_symmetry_Int_Tables_number 140
_symmetry_space_group_name_Hall '-I 4 2c'
_cell_length_a 6.672
_cell_length_b 6.672
_cell_length_c 11.959
_cell_angle_alpha 90.00
_cell_angle_beta 90.00
_cell_angle_gamma 90.00
loop_
_atom_site_label
_atom_site_fract_x
_atom_site_fract_y
_atom_site_fract_z
Nb1 0.000 0.000 0.000
Nb2 0.165 0.335 0.148
Ga1 0.000 0.000 0.250
Si1 0.129 0.371 0.500
# - formation energy without anion corrections (eV per atom) = -0.606
# - magnetization (μB per formula unit) = 0.00